1.
First-principles (GGA-PBE) data for Ag5C after structural relaxation, as listed in the Alexandria database.

It has space group Amm2 (No. 38), with a = 4.369 Å, b = 4.218 Å, c = 11.790 Å, α = 90.00°, β = 90.00° and γ = 90.00°. The asymmetric unit holds Ag at (0.000, 0.000, 0.000), Ag at (0.000, 0.000, 0.305), Ag at (0.500, 0.000, 0.154), Ag at (0.500, 0.000, 0.491), Ag at (0.500, 0.000, 0.816) and C at (0.000, 0.000, 0.493).

As for the offset from the most stable computed form: 0.44 kcal/mol of atoms. As for the spin magnetization: 0.000 μB per formula unit. The formation energy comes out at 0.751 eV/atom.

2.
First-principles (GGA-PBE) data for PrTh3S4 after structural relaxation, as listed in the Alexandria database.

It has space group Cmmm (No. 65), with a = 8.045 Å, b = 11.458 Å, c = 4.093 Å, α = 90.00°, β = 90.00° and γ = 90.00°. The asymmetric unit holds Pr at (0.000, 0.000, 0.000), Th at (0.000, 0.500, 0.000), Th at (0.250, 0.250, 0.500), S at (0.000, 0.251, 0.000) and S at (0.248, 0.500, 0.500).

As for the spin magnetization: 0.000 μB per formula unit. Its formation energy without anion corrections is -15.0 eV per formula unit.

3.
First-principles (GGA-PBE) data for La3ScPd2 after structural relaxation, as listed in the Alexandria database.

It has space group C2/m (No. 12), with a = 15.464 Å, b = 4.710 Å, c = 4.845 Å, α = 90.00°, β = 108.19° and γ = 90.00°. The asymmetric unit holds La at (0.000, 0.000, 0.000), La at (0.189, 0.000, 0.689), Sc at (0.000, 0.500, 0.500) and Pd at (0.120, 0.500, 0.118).

As for the spin magnetization: 0.000 μB per formula unit. The formation energy comes out at -0.487 eV/atom.

4.
First-principles (GGA-PBE) data for Cs3Ce2I9 after structural relaxation, as listed in the Alexandria database.

It has space group R-3c (No. 167, hexagonal axes), with a = 15.1840 Å, b = 15.1840 Å, c = 21.6984 Å, α = 90.00°, β = 90.00° and γ = 120.00°. The asymmetric unit holds Cs at (0.0000, 0.3363, 0.2500), Ce at (0.0000, 0.0000, 0.1523), I at (0.0000, 0.1603, 0.7500) and I at (0.0095, 0.1831, 0.4134).

As for the spin magnetization: 2.000 μB per formula unit. Its formation energy without anion corrections is -20.4 eV per formula unit.

Number 1: electronic total energy -37.95 eV per cell. Number 2: electronic total energy -117.20 eV per cell. Number 3: electronic total energy -68.85 eV per cell. Number 4: electronic total energy -292.82 eV per cell.